PBE DyThGa, relaxed; ΔE to the lowest computed polymorph = 0.0 meV/atom; final energy = -0.1896 Ha/atom; space-group type = No. 216
1.0
7.057 0.000 0.000
0.000 7.057 0.000
0.000 0.000 7.057
Dy Th Ga
4 4 4
Direct
0.000 0.000 0.000
0.000 0.500 0.500
0.500 0.000 0.500
0.500 0.500 0.000
0.000 0.000 0.500
0.000 0.500 0.000
0.500 0.000 0.000
0.500 0.500 0.500
0.250 0.250 0.250
0.250 0.750 0.750
0.750 0.250 0.750
0.750 0.750 0.250